1.
Entry from Alexandria: a relaxed structure of Tb4Th3Bi8 (PBE).

abc: 12.7731 12.8205 9.0378
angles: 90.00 134.70 90.00
Closest atoms and distances in Å follow each position.
Space group C2/m (No. 12)
Asymmetric unit:
Tb 0.0000 0.0000 0.0000 x2  6 Bi 3.17-3.19
Tb 0.0000 0.0000 0.5000 x2  6 Bi 3.27-3.28
Tb 0.2500 0.2500 0.0000 x4  6 Bi 3.19-3.21
Th 0.0000 0.5000 0.0000 x2  6 Bi 3.21-3.24
Th 0.2500 0.2500 0.5000 x4  6 Bi 3.19-3.21
Bi 0.0000 0.2469 0.0000 x4  3 Tb 3.17-3.19, 3 Th 3.21-3.24
Bi 0.0000 0.2553 0.5000 x4  2 Th 3.19, 3 Tb 3.21-3.27
Bi 0.2449 0.5000 0.5034 x4  2 Tb 3.19-3.28, 3 Th 3.21-3.23
Bi 0.2470 0.5000 0.9912 x4  4 Tb 3.18-3.27, 1 Th 3.21

Values from the calculation:
Mass density, g/cm³: 9.5
Density of states at the Fermi level, states/eV/cell: 14.3
ΔE_f, eV/f.u.: -9.63

---

2.
Entry from Alexandria: a relaxed structure of NiSbPS2 (PBE).

abc: 4.6590 4.6590 4.2301
angles: 90.00 90.00 90.00
Closest atoms and distances in Å follow each position.
Space group P4/mmm (No. 123)
Asymmetric unit:
Ni 0.0000 0.0000 0.0000 x1  2 P 2.12, 4 S 2.33
Sb 0.5000 0.5000 0.5000 x1  8 S 3.15, 4 P 3.29
P 0.0000 0.0000 0.5000 x1  2 Ni 2.12
S 0.0000 0.5000 0.0000 x2  2 Ni 2.33

Values from the calculation:
Formation energy from raw total energies, eV/atom: 0.33
Mass density, g/cm³: 5.0
Density of states at the Fermi level, states/eV/cell: 2.6

---

3.
Entry from Alexandria: a relaxed structure of HfTi4Ga6 (PBE).

abc: 6.9443 6.9443 9.2713
angles: 90.00 90.00 90.00
Closest atoms and distances in Å follow each position.
Space group I-42m (No. 121)
Asymmetric unit:
Hf 0.0000 0.0000 0.0000 x2  4 Ga 2.96
Ti 0.1673 0.1673 0.5611 x8  2 Ti 2.59, 6 Ga 2.59-2.75
Ga 0.0000 0.5000 0.0000 x4  4 Ti 2.65
Ga 0.1588 0.1588 0.2707 x8  4 Ti 2.59-2.75

Values from the calculation:
Mass density, g/cm³: 5.9
Density of states at the Fermi level, states/eV/cell: 22.0
ΔE_f, eV/f.u.: 1.04

---

4.
Entry from Alexandria: a relaxed structure of Cs3MnCu (PBE).

abc: 6.8749 6.8749 6.8749
angles: 90.00 90.00 90.00
Closest atoms and distances in Å follow each position.
Space group Pm-3m (No. 221)
Asymmetric unit:
Cs 0.0000 0.0000 0.5000 x3  2 Cu 3.44
Mn 0.5000 0.5000 0.5000 x1  12 Cs 4.86
Cu 0.0000 0.0000 0.0000 x1  6 Cs 3.44

Values from the calculation:
Mass density, g/cm³: 2.6
Density of states at the Fermi level, states/eV/cell: 13.0
ΔE_f, eV/f.u.: 3.87

---

5.
Entry from Alexandria: a relaxed structure of TaRu2 (PBE).

abc: 2.8444 3.8031 8.5234
angles: 90.00 90.00 90.00
Closest atoms and distances in Å follow each position.
Space group Immm (No. 71)
Asymmetric unit:
Ta 0.0000 0.0000 0.0000 x2  10 Ru 2.79, 2 Ta 2.84
Ru 0.0000 0.0000 0.3277 x4  7 Ru 2.72-2.94, 5 Ta 2.79

Values from the calculation:
Mass density, g/cm³: 13.8
Density of states at the Fermi level, states/eV/cell: 8.6
ΔE_f, eV/f.u.: -0.18

---

6.
Entry from Alexandria: a relaxed structure of Sr5CdHg2 (PBE).

abc: 8.8607 8.8607 15.7212
angles: 90.00 90.00 90.00
Closest atoms and distances in Å follow each position.
Space group I4/mcm (No. 140)
Asymmetric unit:
Sr 0.0000 0.0000 0.0000 x4  4 Hg 3.46
Sr 0.1633 0.3367 0.1444 x16  3 Hg 3.42-3.48, 2 Cd 3.71
Cd 0.0000 0.0000 0.2500 x4  10 Sr 3.71-3.93
Hg 0.1330 0.3670 0.5000 x8  1 Hg 3.33, 8 Sr 3.42-3.48

Values from the calculation:
Mass density, g/cm³: 5.1
Density of states at the Fermi level, states/eV/cell: 32.6
ΔE_f, eV/f.u.: -2.90